This record from Alexandria describes crystalline Mg3InSi at its relaxed geometry. The functional is PBE.

- M_tot: 0.00 Bohr magnetons per cell
- Uncorrected formation energy: 0.687 eV/atom

a = 5.241 Å, b = 5.241 Å, c = 5.241 Å
α = 90.00°, β = 90.00°, γ = 90.00°
Space group Pm-3m (No. 221)
Symmetry-distinct sites (fractional):
Mg: 0.000 0.000 0.500 (multiplicity 3)
In: 0.000 0.000 0.000 (multiplicity 1)
Si: 0.500 0.500 0.500 (multiplicity 1)